DFT (PBE) results for an optimized crystal structure of CuPt6Rh2.

POSCAR file:
```
CuPt6Rh2
1.0
-2.369 -2.899 1.122
-1.487 -2.809 -3.589
4.958 -6.695 -0.022
Cu Pt Rh
1 6 2
direct
0.000 0.500 0.500
0.666 0.724 0.945
0.334 0.276 0.055
0.999 0.825 0.176
0.331 0.945 0.394
0.001 0.175 0.824
0.669 0.055 0.606
0.336 0.609 0.719
0.664 0.391 0.281
```

Calculated values
- mass density (g/cm3) = 17.68
- E (eV per cell) = -55.42
- spin magnetization (μB per formula unit) = 0.001
- SG = C2/m
- energy relative to the lowest polymorph listed for this composition (eV per formula unit) = 0.000

DFT (PBE) results for an optimized crystal structure of CuPtRh2.

POSCAR file:
```
CuPtRh2
1.0
4.687 0.005 -0.019
1.530 4.430 0.019
-3.097 -2.234 2.717
Rh Pt Cu
2 1 1
direct
0.000 0.000 0.000
0.750 0.250 0.500
0.250 0.750 0.500
0.500 0.500 0.000
```

Calculated values
- mass density (g/cm3) = 13.67
- E (eV per cell) = -25.01
- spin magnetization (μB per formula unit) = 0.000
- SG = I-4m2
- energy relative to the lowest polymorph listed for this composition (eV per formula unit) = 0.000

DFT (PBE) results for an optimized crystal structure of Cu2PtRh.

POSCAR file:
```
Cu2PtRh
1.0
2.663 -0.002 0.000
-1.270 2.341 0.000
0.000 0.000 8.946
Cu Pt Rh
2 1 1
direct
0.000 0.000 0.008
0.500 0.500 0.239
0.000 0.000 0.490
0.500 0.500 0.763
```

Calculated values
- mass density (g/cm3) = 12.66
- E (eV per cell) = -21.26
- spin magnetization (μB per formula unit) = 0.271
- SG = Cmm2
- energy relative to the lowest polymorph listed for this composition (eV per formula unit) = 0.606

DFT (PBE) results for an optimized crystal structure of CuPtRh.

POSCAR file:
```
CuPtRh
1.0
4.297 0.000 0.000
-2.149 3.721 0.000
0.000 0.000 2.695
Cu Pt Rh
1 1 1
direct
0.000 0.000 0.021
0.333 0.667 0.256
0.667 0.333 0.723
```

Calculated values
- mass density (g/cm3) = 13.93
- E (eV per cell) = -17.21
- spin magnetization (μB per formula unit) = 1.214
- SG = P3m1
- energy relative to the lowest polymorph listed for this composition (eV per formula unit) = 0.430

DFT (PBE) results for an optimized crystal structure of Cu4Pt4Rh.

POSCAR file:
```
Cu4Pt4Rh
1.0
-0.444 -3.097 2.259
-3.054 -4.214 -3.081
4.718 -3.691 -0.836
Cu Pt Rh
4 4 1
direct
0.500 0.161 0.339
0.500 0.839 0.661
0.161 0.839 0.339
0.839 0.161 0.661
0.168 0.163 0.000
0.832 0.837 0.000
0.832 0.500 0.337
0.168 0.500 0.663
0.500 0.500 0.000
```

Calculated values
- mass density (g/cm3) = 14.90
- E (eV per cell) = -48.51
- spin magnetization (μB per formula unit) = 0.000
- SG = I4/mmm
- energy relative to the lowest polymorph listed for this composition (eV per formula unit) = 0.000

DFT (PBE) results for an optimized crystal structure of Cu2Pt3Rh.

POSCAR file:
```
Cu2Pt3Rh
1.0
2.695 0.000 0.000
0.000 6.816 0.000
-1.347 0.000 10.580
Cu Pt Rh
4 6 2
direct
0.155 0.750 0.310
0.845 0.250 0.690
0.980 0.750 0.960
0.020 0.250 0.040
0.432 0.449 0.864
0.568 0.551 0.136
0.432 0.051 0.864
0.568 0.949 0.136
0.757 0.750 0.513
0.243 0.250 0.487
0.362 0.750 0.724
0.638 0.250 0.276
```

Calculated values
- mass density (g/cm3) = 13.93
- E (eV per cell) = -64.33
- spin magnetization (μB per formula unit) = 0.000
- SG = Cmcm
- energy relative to the lowest polymorph listed for this composition (eV per formula unit) = 2.071

DFT (PBE) results for an optimized crystal structure of Cu2Pt4Rh5.

POSCAR file:
```
Cu2Pt4Rh5
1.0
-1.614 -1.035 1.908
1.887 -6.805 -2.093
7.402 0.578 4.666
Cu Pt Rh
2 4 5
direct
0.614 0.472 0.231
0.386 0.528 0.769
0.126 0.141 0.252
0.991 0.320 0.980
0.874 0.859 0.748
0.009 0.680 0.020
0.850 0.197 0.701
0.150 0.803 0.299
0.756 0.652 0.512
0.500 0.000 0.000
0.244 0.348 0.488
```

Calculated values
- mass density (g/cm3) = 13.68
- E (eV per cell) = -66.96
- spin magnetization (μB per formula unit) = 0.000
- SG = P-1

DFT (PBE) results for an optimized crystal structure of Cu2Pt2Rh3.

POSCAR file:
```
Cu2Pt2Rh3
1.0
2.716 0.000 0.000
0.000 3.755 0.577
0.000 0.388 9.986
Cu Pt Rh
2 2 3
direct
0.000 0.139 0.722
0.000 0.861 0.278
0.500 0.297 0.407
0.500 0.703 0.593
0.500 0.432 0.136
0.500 0.568 0.864
0.000 0.000 0.000
```

Calculated values
- mass density (g/cm3) = 13.55
- E (eV per cell) = -41.96
- spin magnetization (μB per formula unit) = 0.000
- SG = Cmmm

DFT (PBE) results for an optimized crystal structure of Cu5Pt4Rh.

POSCAR file:
```
Cu5Pt4Rh
1.0
0.632 -0.608 -4.588
5.076 -1.639 -0.645
-2.792 -5.013 1.891
Cu Pt Rh
5 4 1
direct
0.299 0.203 0.602
0.098 0.402 0.199
0.902 0.598 0.801
0.500 0.500 0.000
0.701 0.797 0.398
0.697 0.304 0.397
0.103 0.894 0.198
0.303 0.696 0.603
0.897 0.106 0.802
0.500 0.000 0.000
```

Calculated values
- mass density (g/cm3) = 14.40
- E (eV per cell) = -53.04
- spin magnetization (μB per formula unit) = 0.000
- SG = P-1

DFT (PBE) results for an optimized crystal structure of Cu2PtRh.

POSCAR file:
```
Cu2PtRh
1.0
2.726 0.000 0.000
0.000 4.607 0.000
0.000 0.000 4.422
Cu Pt Rh
2 1 1
direct
0.000 0.000 0.000
0.500 0.500 0.000
0.500 0.000 0.500
0.000 0.500 0.500
```

Calculated values
- mass density (g/cm3) = 12.71
- E (eV per cell) = -21.55
- spin magnetization (μB per formula unit) = 0.000
- SG = Pmmm
- energy relative to the lowest polymorph listed for this composition (eV per formula unit) = 0.313

DFT (PBE) results for an optimized crystal structure of Cu4PtRh.

POSCAR file:
```
Cu4PtRh
1.0
-4.768 -0.125 -0.371
-2.723 1.001 3.804
-2.517 4.066 0.137
Cu Pt Rh
4 1 1
direct
0.875 0.375 0.375
0.375 0.375 0.875
0.375 0.875 0.375
0.375 0.375 0.375
0.750 0.750 0.750
0.000 0.000 0.000
```

Calculated values
- mass density (g/cm3) = 11.84
- E (eV per cell) = -29.62
- spin magnetization (μB per formula unit) = 0.003
- SG = F-43m
- energy relative to the lowest polymorph listed for this composition (eV per formula unit) = 0.267

DFT (PBE) results for an optimized crystal structure of Cu2Pt8Rh.

POSCAR file:
```
Cu2Pt8Rh
1.0
4.798 -0.984 -1.112
-1.963 5.949 -3.218
-0.834 -0.081 6.992
Rh Pt Cu
1 8 2
direct
0.500 0.000 0.000
0.911 0.908 0.680
0.911 0.680 0.908
0.327 0.592 0.592
0.500 0.225 0.775
0.500 0.775 0.225
0.673 0.408 0.408
0.089 0.320 0.092
0.089 0.092 0.320
0.000 0.693 0.307
0.000 0.307 0.693
```

Calculated values
- mass density (g/cm3) = 16.85
- E (eV per cell) = -62.15
- spin magnetization (μB per formula unit) = 0.000
- SG = C2/m
- energy relative to the lowest polymorph listed for this composition (eV per formula unit) = 0.000